Entry 1:
# Mn2AuN PBE-GGA optimized geometry
# - total moment (μB/cell) = 14.50
# - uncorrected formation energy (meV per atom) = -131
data_Mn2AuN
_chemical_formula_sum 'Mn6 Au3 N3'
_space_group_name_H-M_alt 'R 3 m'
_space_group_IT_number 160
_space_group_name_Hall 'R 3 -2"'
_cell_length_a 2.8939
_cell_length_b 2.8939
_cell_length_c 19.9469
_cell_angle_alpha 90.00
_cell_angle_beta 90.00
_cell_angle_gamma 120.00
loop_
_atom_site_label
_atom_site_type_symbol
_atom_site_fract_x
_atom_site_fract_y
_atom_site_fract_z
Mn1 Mn 0.0000 0.0000 0.0000
Mn2 Mn 0.0000 0.0000 0.2275
Au1 Au 0.0000 0.0000 0.7819
N1 N 0.0000 0.0000 0.6138

---

Entry 2:
# LaPb3 PBE-GGA optimized geometry
# - formation energy (meV/atom) = 697
# - total moment (μB/cell) = 0.00
data_LaPb3
_chemical_formula_sum 'La1 Pb3'
_space_group_name_H-M_alt 'P m -3 m'
_space_group_IT_number 221
_space_group_name_Hall '-P 4 2 3'
_cell_length_a 6.2298
_cell_length_b 6.2298
_cell_length_c 6.2298
_cell_angle_alpha 90.00
_cell_angle_beta 90.00
_cell_angle_gamma 90.00
loop_
_atom_site_label
_atom_site_type_symbol
_atom_site_fract_x
_atom_site_fract_y
_atom_site_fract_z
La1 La 0.0000 0.0000 0.0000
Pb1 Pb 0.0000 0.0000 0.5000

---

Entry 3:
# SrLi2Hg2 PBE-GGA optimized geometry
# - relative energy among the computed polymorphs (meV/atom) = 108.3
# - formation energy (meV/atom) = -272
# - total moment (μB/cell) = 0.00
data_SrLi2Hg2
_chemical_formula_sum 'Sr2 Li4 Hg4'
_space_group_name_H-M_alt 'P 4/m b m'
_space_group_IT_number 127
_space_group_name_Hall '-P 4 2ab'
_cell_length_a 8.3339
_cell_length_b 8.3339
_cell_length_c 3.6578
_cell_angle_alpha 90.00
_cell_angle_beta 90.00
_cell_angle_gamma 90.00
loop_
_atom_site_label
_atom_site_type_symbol
_atom_site_fract_x
_atom_site_fract_y
_atom_site_fract_z
Sr1 Sr 0.0000 0.0000 0.0000
Li1 Li 0.1516 0.3484 0.5000
Hg1 Hg 0.1315 0.6315 0.0000

---

Entry 4:
# Li2CaAl PBE-GGA optimized geometry
# - formation energy (meV/atom) = 164
# - total moment (μB/cell) = 0.00
data_Li2CaAl
_chemical_formula_sum 'Li6 Ca3 Al3'
_space_group_name_H-M_alt 'R -3 m'
_space_group_IT_number 166
_space_group_name_Hall '-R 3 2"'
_cell_length_a 3.4096
_cell_length_b 3.4096
_cell_length_c 29.4995
_cell_angle_alpha 90.00
_cell_angle_beta 90.00
_cell_angle_gamma 120.00
loop_
_atom_site_label
_atom_site_type_symbol
_atom_site_fract_x
_atom_site_fract_y
_atom_site_fract_z
Li1 Li 0.0000 0.0000 0.2369
Ca1 Ca 0.0000 0.0000 0.0000
Al1 Al 0.0000 0.0000 0.5000

---

Entry 5:
# NaNd2Dy3Te6 PBE-GGA optimized geometry
# - total moment (μB/cell) = 0.00
# - uncorrected formation energy (meV per atom) = -1351
data_NaNd2Dy3Te6
_chemical_formula_sum 'Na2 Nd4 Dy6 Te12'
_space_group_name_H-M_alt 'C 1 2/m 1'
_space_group_IT_number 12
_space_group_name_Hall '-C 2y'
_cell_length_a 19.4020
_cell_length_b 4.3956
_cell_length_c 8.9313
_cell_angle_alpha 90.00
_cell_angle_beta 103.88
_cell_angle_gamma 90.00
loop_
_atom_site_label
_atom_site_type_symbol
_atom_site_fract_x
_atom_site_fract_y
_atom_site_fract_z
Na1 Na 0.0000 0.0000 0.0000
Nd1 Nd 0.1714 0.5000 0.3449
Dy1 Dy 0.0000 0.0000 0.5000
Dy2 Dy 0.1668 0.5000 0.8281
Te1 Te 0.0010 0.5000 0.7462
Te2 Te 0.1618 0.0000 0.5909
Te3 Te 0.1680 0.0000 0.0766

---

Entry 6:
# AcHo3Sb3 PBE-GGA optimized geometry
# - total moment (μB/cell) = 0.00
# - uncorrected formation energy (meV per atom) = -803
data_AcHo3Sb3
_chemical_formula_sum 'Ac2 Ho6 Sb6'
_space_group_name_H-M_alt 'P 63/m'
_space_group_IT_number 176
_space_group_name_Hall '-P 6c'
_cell_length_a 9.3037
_cell_length_b 9.3037
_cell_length_c 5.6623
_cell_angle_alpha 90.00
_cell_angle_beta 90.00
_cell_angle_gamma 120.00
loop_
_atom_site_label
_atom_site_type_symbol
_atom_site_fract_x
_atom_site_fract_y
_atom_site_fract_z
Ac1 Ac 0.3333 0.6667 0.2500
Ho1 Ho 0.0145 0.7710 0.2500
Sb1 Sb 0.0599 0.6433 0.7500